This record from Alexandria describes a geometry-optimized NaNpPd2 structure. The functional is PBE.

Cell lengths 2.9275, 2.9275, 10.5465 Å; angles 82.02, 82.02, 60.00 degrees
Sites, in units of the cell vectors:
Na 0.0000 0.0000 0.0000
Pd 0.9127 0.9127 0.2619
Pd 0.0873 0.0873 0.7381
Np 0.5000 0.5000 0.5000

The calculation puts the density of states at the Fermi level at 3.90 states/eV per cell. For the energy above the lowest structure with this stoichiometry, the calculation gives 146.5 meV/atom. The magnetization is 4.0 μB/f.u. The calculation puts the mass density at 10.2 g cm⁻³. As for the energy relative to the elements: 39.3 meV/atom.

=====

This record from Alexandria describes a geometry-optimized Sc2TiGa2 structure. The functional is PBE.

Cell lengths 7.0503, 7.0503, 3.9212 Å; angles 90.00, 90.00, 90.00 degrees
Sites, in units of the cell vectors:
Ti 0.0000 0.0000 0.0000
Ti 0.5000 0.5000 0.0000
Ga 0.6290 0.1290 0.0000
Ga 0.1290 0.3710 0.0000
Ga 0.8710 0.6290 0.0000
Ga 0.3710 0.8710 0.0000
Sc 0.6753 0.8247 0.5000
Sc 0.1753 0.6753 0.5000
Sc 0.8247 0.3247 0.5000
Sc 0.3247 0.1753 0.5000

The calculation puts the density of states at the Fermi level at 14.33 states/eV per cell. For the energy above the lowest structure with this stoichiometry, the calculation gives 0.0 meV/atom. The magnetization is 0.8 μB/f.u. The calculation puts the mass density at 4.7 g cm⁻³. As for the energy relative to the elements: -428.6 meV/atom.

=====

This record from Alexandria describes a geometry-optimized Zn2NiSn structure. The functional is PBE.

Cell lengths 3.3431, 3.3431, 5.8033 Å; angles 90.00, 90.00, 90.00 degrees
Sites, in units of the cell vectors:
Zn 0.0000 0.0000 0.2074
Zn 0.0000 0.0000 0.7926
Sn 0.5000 0.5000 0.5000
Ni 0.5000 0.5000 0.0000

The calculation puts the density of states at the Fermi level at 0.93 states/eV per cell. The magnetization is 0.0 μB/f.u. The calculation puts the mass density at 7.9 g cm⁻³. As for the energy relative to the elements: 35.2 meV/atom.

=====

This record from Alexandria describes a geometry-optimized ZnTc3P structure. The functional is PBE.

Cell lengths 4.3674, 4.3674, 4.3674 Å; angles 90.00, 90.00, 90.00 degrees
Sites, in units of the cell vectors:
Zn 0.5000 0.5000 0.5000
Tc 0.5000 0.0000 0.0000
Tc 0.0000 0.0000 0.5000
Tc 0.0000 0.5000 0.0000
P 0.0000 0.0000 0.0000

The calculation puts the density of states at the Fermi level at 4.17 states/eV per cell. For the energy above the lowest structure with this stoichiometry, the calculation gives 0.0 meV/atom. The magnetization is 1.1 μB/f.u. The calculation puts the mass density at 7.8 g cm⁻³. As for the energy relative to the elements: 479.1 meV/atom.

=====

This record from Alexandria describes a geometry-optimized ZrCdSCl2 structure. The functional is PBE.

Cell lengths 4.9996, 4.9996, 5.1908 Å; angles 90.00, 90.00, 90.00 degrees
Sites, in units of the cell vectors:
Cd 0.0000 0.0000 0.0000
Cl 0.0000 0.5000 0.0000
Cl 0.5000 0.0000 0.0000
Zr 0.5000 0.5000 0.5000
S 0.0000 0.0000 0.5000

The calculation puts the density of states at the Fermi level at 3.07 states/eV per cell. For the energy above the lowest structure with this stoichiometry, the calculation gives 908.4 meV/atom. The magnetization is 2.0 μB/f.u. The calculation puts the mass density at 3.9 g cm⁻³. As for the uncorrected formation energy: -0.065 eV per atom.

=====

This record from Alexandria describes a geometry-optimized LiSn2S structure. The functional is PBE.

Cell lengths 8.0269, 8.0269, 6.4358 Å; angles 51.42, 51.42, 90.00 degrees
Sites, in units of the cell vectors:
S 0.7500 0.2500 0.5000
S 0.0000 0.0000 0.0000
Sn 0.8750 0.9040 0.7500
Sn 0.6540 0.1250 0.2500
Sn 0.3750 0.3460 0.7500
Sn 0.0960 0.6250 0.2500
Li 0.2500 0.7500 0.5000
Li 0.5000 0.5000 0.0000

The calculation puts the density of states at the Fermi level at 3.46 states/eV per cell. The magnetization is 0.0 μB/f.u. The calculation puts the mass density at 4.7 g cm⁻³. As for the uncorrected formation energy: -0.148 eV per atom.

=====

> What is the mass density in the third record?

7.9 g cm⁻³